(1)
Computed, not measured: a geometry-optimized Cd3Pb structure at the GGA-PBE level of DFT.

a = 3.140 Å, b = 5.873 Å, c = 11.213 Å
α = 90.00°, β = 90.00°, γ = 90.00°
Space group Cmmm (No. 65)
Symmetry-distinct sites (fractional):
Cd1 0.000 0.000 0.000 [2 per cell]
Cd2 0.000 0.500 0.235 [4 per cell]
Pb1 0.000 0.000 0.500 [2 per cell]

(2)
Computed, not measured: a geometry-optimized Cd3Pb structure at the GGA-PBE level of DFT.

a = 10.5258 Å, b = 10.5258 Å, c = 3.2371 Å
α = 90.00°, β = 90.00°, γ = 120.00°
Space group R-3m (No. 166, hexagonal axes)
Symmetry-distinct sites (fractional):
Cd1 0.0000 0.5000 0.0000 [9 per cell]
Pb1 0.0000 0.0000 0.0000 [3 per cell]

(3)
Computed, not measured: a geometry-optimized Cd7Pb structure at the GGA-PBE level of DFT.

a = 9.156 Å, b = 9.156 Å, c = 9.156 Å
α = 90.00°, β = 90.00°, γ = 90.00°
Space group Fm-3m (No. 225)
Symmetry-distinct sites (fractional):
Cd1 0.000 0.000 0.000 [4 per cell]
Cd2 0.000 0.250 0.250 [24 per cell]
Pb1 0.000 0.000 0.500 [4 per cell]

Properties
polymorph energy (0 for the lowest one) = 24 meV/atom

(4)
Computed, not measured: a geometry-optimized CdPb3 structure at the GGA-PBE level of DFT.

a = 4.914 Å, b = 4.914 Å, c = 9.861 Å
α = 90.00°, β = 90.00°, γ = 90.00°
Space group I4/mmm (No. 139)
Symmetry-distinct sites (fractional):
Cd1 0.000 0.000 0.000 [2 per cell]
Pb1 0.000 0.000 0.500 [2 per cell]
Pb2 0.000 0.500 0.250 [4 per cell]

(5)
Computed, not measured: a geometry-optimized Cd6Pb structure at the GGA-PBE level of DFT.

a = 6.944 Å, b = 6.944 Å, c = 6.944 Å
α = 90.00°, β = 90.00°, γ = 90.00°
Space group Pm-3m (No. 221)
Symmetry-distinct sites (fractional):
Cd1 0.000 0.000 0.305 [6 per cell]
Pb1 0.500 0.500 0.500 [1 per cell]

Properties
polymorph energy (0 for the lowest one) = 580 meV/atom

(6)
Computed, not measured: a geometry-optimized Cd2Pb structure at the GGA-PBE level of DFT.

a = 3.346 Å, b = 3.346 Å, c = 13.913 Å
α = 90.00°, β = 90.00°, γ = 90.00°
Space group I4/mmm (No. 139)
Symmetry-distinct sites (fractional):
Cd1 0.000 0.000 0.177 [4 per cell]
Pb1 0.000 0.000 0.500 [2 per cell]

(7)
Computed, not measured: a geometry-optimized Cd2Pb structure at the GGA-PBE level of DFT.

a = 12.423 Å, b = 5.308 Å, c = 4.816 Å
α = 90.00°, β = 90.00°, γ = 90.00°
Space group Cmcm (No. 63)
Symmetry-distinct sites (fractional):
Cd1 0.182 0.186 0.250 [8 per cell]
Pb1 0.000 0.282 0.750 [4 per cell]

(8)
Computed, not measured: a geometry-optimized CdPb3 structure at the GGA-PBE level of DFT.

a = 3.581 Å, b = 11.324 Å, c = 5.871 Å
α = 90.00°, β = 90.00°, γ = 90.00°
Space group Imm2 (No. 44)
Symmetry-distinct sites (fractional):
Cd1 0.000 0.000 0.000 [2 per cell]
Pb1 0.000 0.261 0.376 [4 per cell]
Pb2 0.000 0.500 0.988 [2 per cell]

(9)
Computed, not measured: a geometry-optimized CdPb3 structure at the GGA-PBE level of DFT.

a = 11.1324 Å, b = 11.1324 Å, c = 3.3636 Å
α = 90.00°, β = 90.00°, γ = 120.00°
Space group R-3m (No. 166, hexagonal axes)
Symmetry-distinct sites (fractional):
Cd1 0.0000 0.0000 0.0000 [3 per cell]
Pb1 0.0000 0.5000 0.0000 [9 per cell]

(10)
Computed, not measured: a geometry-optimized Cd4Pb structure at the GGA-PBE level of DFT.

a = 5.805 Å, b = 5.805 Å, c = 5.805 Å
α = 90.00°, β = 90.00°, γ = 90.00°
Space group Pm-3m (No. 221)
Symmetry-distinct sites (fractional):
Cd1 0.000 0.000 0.000 [1 per cell]
Cd2 0.000 0.500 0.500 [3 per cell]
Pb1 0.500 0.500 0.500 [1 per cell]

Properties
polymorph energy (0 for the lowest one) = 384 meV/atom

(11)
Computed, not measured: a geometry-optimized CdPb structure at the GGA-PBE level of DFT.

a = 3.4390 Å, b = 3.4390 Å, c = 16.3494 Å
α = 90.00°, β = 90.00°, γ = 120.00°
Space group R-3m (No. 166, hexagonal axes)
Symmetry-distinct sites (fractional):
Cd1 0.0000 0.0000 0.0000 [3 per cell]
Pb1 0.0000 0.0000 0.5000 [3 per cell]

(12)
Computed, not measured: a geometry-optimized CdPb6 structure at the GGA-PBE level of DFT.

a = 8.619 Å, b = 8.619 Å, c = 8.619 Å
α = 90.00°, β = 90.00°, γ = 90.00°
Space group Im-3m (No. 229)
Symmetry-distinct sites (fractional):
Cd1 0.000 0.000 0.000 [2 per cell]
Pb1 0.000 0.250 0.500 [12 per cell]

Properties
polymorph energy (0 for the lowest one) = 340 meV/atom

(13)
Computed, not measured: a geometry-optimized CdPb structure at the GGA-PBE level of DFT.

a = 4.8502 Å, b = 4.8502 Å, c = 5.8712 Å
α = 90.00°, β = 90.00°, γ = 120.00°
Space group P6_3/mmc (No. 194)
Symmetry-distinct sites (fractional):
Cd1 0.0000 0.0000 0.0000 [2 per cell]
Pb1 0.3333 0.6667 0.2500 [2 per cell]

(14)
Computed, not measured: a geometry-optimized Cd2Pb structure at the GGA-PBE level of DFT.

a = 11.890 Å, b = 3.383 Å, c = 8.220 Å
α = 90.00°, β = 108.88°, γ = 90.00°
Space group C2/m (No. 12)
Symmetry-distinct sites (fractional):
Cd1 0.039 0.000 0.256 [4 per cell]
Cd2 0.149 0.500 0.030 [4 per cell]
Pb1 0.164 0.500 0.622 [4 per cell]

(15)
Computed, not measured: a geometry-optimized CdPb structure at the GGA-PBE level of DFT.

a = 11.811 Å, b = 11.811 Å, c = 3.283 Å
α = 90.00°, β = 90.00°, γ = 90.00°
Space group I4/m (No. 87)
Symmetry-distinct sites (fractional):
Cd1 0.087 0.632 0.000 [8 per cell]
Pb1 0.115 0.173 0.000 [8 per cell]

(16)
Computed, not measured: a geometry-optimized CdPb5 structure at the GGA-PBE level of DFT.

a = 9.238 Å, b = 9.238 Å, c = 9.238 Å
α = 90.00°, β = 90.00°, γ = 90.00°
Space group F-43m (No. 216)
Symmetry-distinct sites (fractional):
Cd1 0.000 0.000 0.000 [4 per cell]
Pb1 0.125 0.125 0.375 [16 per cell]
Pb2 0.250 0.250 0.750 [4 per cell]

(17)
Computed, not measured: a geometry-optimized CdPb structure at the GGA-PBE level of DFT.

a = 5.271 Å, b = 3.454 Å, c = 6.341 Å
α = 90.00°, β = 103.36°, γ = 90.00°
Space group P2_1/m (No. 11)
Symmetry-distinct sites (fractional):
Cd1 0.190 0.250 0.158 [2 per cell]
Pb1 0.284 0.250 0.666 [2 per cell]

(18)
Computed, not measured: a geometry-optimized CdPb structure at the GGA-PBE level of DFT.

a = 3.654 Å, b = 5.554 Å, c = 10.925 Å
α = 90.00°, β = 90.00°, γ = 90.00°
Space group Imma (No. 74)
Symmetry-distinct sites (fractional):
Cd1 0.000 0.250 0.139 [4 per cell]
Pb1 0.000 0.250 0.613 [4 per cell]

(19)
Computed, not measured: a geometry-optimized CdPb5 structure at the GGA-PBE level of DFT.

a = 6.3340 Å, b = 6.3340 Å, c = 5.9886 Å
α = 90.00°, β = 90.00°, γ = 120.00°
Space group P6/mmm (No. 191)
Symmetry-distinct sites (fractional):
Cd1 0.0000 0.0000 0.0000 [1 per cell]
Pb1 0.0000 0.5000 0.5000 [3 per cell]
Pb2 0.3333 0.6667 0.0000 [2 per cell]

(20)
Computed, not measured: a geometry-optimized CdPb structure at the GGA-PBE level of DFT.

a = 3.465 Å, b = 5.818 Å, c = 5.819 Å
α = 102.82°, β = 91.08°, γ = 104.81°
Space group P-1 (No. 2)
Symmetry-distinct sites (fractional):
Cd1 0.131 0.271 0.376 [2 per cell]
Pb1 0.366 0.762 0.142 [2 per cell]

(21)
Computed, not measured: a geometry-optimized Cd3Pb structure at the GGA-PBE level of DFT.

a = 3.618 Å, b = 4.887 Å, c = 5.864 Å
α = 90.00°, β = 90.00°, γ = 90.00°
Space group Pmm2 (No. 25)
Symmetry-distinct sites (fractional):
Cd1 0.000 0.000 0.000 [1 per cell]
Cd2 0.000 0.500 0.329 [1 per cell]
Cd3 0.500 0.000 0.446 [1 per cell]
Pb1 0.500 0.500 0.813 [1 per cell]

(22)
Computed, not measured: a geometry-optimized Cd5Pb structure at the GGA-PBE level of DFT.

a = 10.054 Å, b = 3.433 Å, c = 9.101 Å
α = 90.00°, β = 110.77°, γ = 90.00°
Space group C2/m (No. 12)
Symmetry-distinct sites (fractional):
Cd1 0.000 0.000 0.000 [2 per cell]
Cd2 0.162 0.500 0.312 [4 per cell]
Cd3 0.170 0.500 0.846 [4 per cell]
Pb1 0.000 0.000 0.500 [2 per cell]

Properties
polymorph energy (0 for the lowest one) = 5 meV/atom

(23)
Computed, not measured: a geometry-optimized Cd3Pb structure at the GGA-PBE level of DFT.

a = 3.4323 Å, b = 3.4323 Å, c = 30.4088 Å
α = 90.00°, β = 90.00°, γ = 120.00°
Space group R-3m (No. 166, hexagonal axes)
Symmetry-distinct sites (fractional):
Cd1 0.0000 0.0000 0.0000 [3 per cell]
Cd2 0.0000 0.0000 0.2588 [6 per cell]
Pb1 0.0000 0.0000 0.5000 [3 per cell]

(24)
Computed, not measured: a geometry-optimized Cd2Pb structure at the GGA-PBE level of DFT.

a = 11.624 Å, b = 3.496 Å, c = 8.194 Å
α = 90.00°, β = 107.40°, γ = 90.00°
Space group Cm (No. 8)
Symmetry-distinct sites (fractional):
Cd1 0.000 0.000 0.000 [2 per cell]
Cd2 0.031 0.000 0.560 [2 per cell]
Cd3 0.147 0.500 0.340 [2 per cell]
Cd4 0.340 0.000 0.652 [2 per cell]
Pb1 0.201 0.500 0.873 [2 per cell]
Pb2 0.350 0.000 0.241 [2 per cell]

(25)
Computed, not measured: a geometry-optimized Cd6Pb structure at the GGA-PBE level of DFT.

a = 9.458 Å, b = 5.991 Å, c = 12.170 Å
α = 90.00°, β = 90.00°, γ = 90.00°
Space group Pnma (No. 62)
Symmetry-distinct sites (fractional):
Cd1 0.053 0.250 0.082 [4 per cell]
Cd2 0.056 0.508 0.314 [8 per cell]
Cd3 0.122 0.750 0.522 [4 per cell]
Cd4 0.137 0.250 0.853 [4 per cell]
Cd5 0.194 0.750 0.769 [4 per cell]
Pb1 0.239 0.750 0.087 [4 per cell]

Properties
polymorph energy (0 for the lowest one) = 0 meV/atom

(26)
Computed, not measured: a geometry-optimized Cd2Pb structure at the GGA-PBE level of DFT.

a = 3.317 Å, b = 4.373 Å, c = 10.807 Å
α = 90.00°, β = 90.00°, γ = 90.00°
Space group Immm (No. 71)
Symmetry-distinct sites (fractional):
Cd1 0.000 0.000 0.181 [4 per cell]
Pb1 0.000 0.000 0.500 [2 per cell]

no.,ΔE_f (eV per atom)
1,0.071
2,0.067
3,0.056
4,0.041
5,0.624
6,0.047
7,0.050
8,0.055
9,0.085
10,0.421
11,0.065
12,0.396
13,0.105
14,0.036
15,0.086
16,0.181
17,0.047
18,0.058
19,0.189
20,0.039
21,0.055
22,0.035
23,0.052
24,0.057
25,0.044
26,0.056